This record from Alexandria via LeMat-Bulk describes crystalline TiAlW at its relaxed geometry. The functional is GGA-PBE.

DOS(E_F) = 5.28 states/eV/cell
ΔE to the lowest computed polymorph = 0.000 eV/atom
Symmetry = P2_1/m
Spin magnetization = 0.000 μB per cell
Crystal system = monoclinic

Lattice parameters (Å, degrees): 2.8022 4.4020 7.8033 90.00 92.02 90.00
Sites, in units of the cell vectors:
Ti 0.0148 0.2500 0.2373
Ti 0.9852 0.7500 0.7627
Al 0.4555 0.2500 0.9069
Al 0.5445 0.7500 0.0931
W 0.3410 0.7500 0.4220
W 0.6590 0.2500 0.5780